Here is an optimized crystal structure of FeCo2GeO6 from Alexandria via LeMat-Bulk. Energies are from GGA+U.

abc: 5.405 5.405 5.405
angles: 55.02 55.02 55.02
Fractional coordinates of all 10 atoms:
Fe 0.000 0.000 0.000
Co 0.200 0.200 0.200
Co 0.720 0.720 0.720
Ge 0.513 0.513 0.513
O 0.140 0.400 0.798
O 0.301 0.915 0.593
O 0.400 0.798 0.140
O 0.593 0.301 0.915
O 0.798 0.140 0.400
O 0.915 0.593 0.301

Summary:
* DFT total energy: -63.3 eV for the cell shown